A geometry-optimized Ti4BiPb structure, computed with PBE.

Unit cell a=5.2279 b=5.2279 c=7.1244 alpha=109.90 beta=109.90 gamma=39.85
Fractional positions:
Ti (0.1721, 0.1721, 0.3343)
Ti (0.1721, 0.1721, 0.8375)
Ti (0.8279, 0.8279, 0.1625)
Ti (0.8279, 0.8279, 0.6657)
Bi (0.5000, 0.5000, 0.5000)
Pb (0.5000, 0.5000, 0.0000)

Computed properties:
- formation energy from the elements (eV/f.u.) = -0.5
- spin magnetization (μB/cell) = 0.93
- space-group type = No. 12
- offset from the most stable computed form (meV/atom) = 0.0
- E_tot (eV per atom) = -6.62
- density (g/cm³) = 8.68

---

A geometry-optimized Ti12BiPb3 structure, computed with PBE.

Unit cell a=5.2944 b=5.2944 c=10.5971 alpha=90.00 beta=90.00 gamma=90.00
Fractional positions:
Ti (0.0000, 0.0000, 0.1233)
Ti (0.0000, 0.0000, 0.3727)
Ti (0.0000, 0.0000, 0.6273)
Ti (0.0000, 0.0000, 0.8767)
Ti (0.2484, 0.5000, 0.5000)
Ti (0.2503, 0.5000, 0.0000)
Ti (0.5000, 0.2506, 0.2497)
Ti (0.5000, 0.2506, 0.7503)
Ti (0.5000, 0.7494, 0.2497)
Ti (0.5000, 0.7494, 0.7503)
Ti (0.7497, 0.5000, 0.0000)
Ti (0.7516, 0.5000, 0.5000)
Bi (0.5000, 0.0000, 0.5000)
Pb (0.0000, 0.5000, 0.2501)
Pb (0.0000, 0.5000, 0.7499)
Pb (0.5000, 0.0000, 0.0000)

Computed properties:
- formation energy from the elements (eV/f.u.) = -1.2
- spin magnetization (μB/cell) = 3.15
- space-group type = No. 47
- E_tot (eV per atom) = -6.93
- density (g/cm³) = 7.85

---

A geometry-optimized Ti2Bi2Pb structure, computed with PBE.

Unit cell a=8.7880 b=8.7880 c=3.2807 alpha=90.00 beta=90.00 gamma=90.00
Fractional positions:
Ti (0.1160, 0.3840, 0.0000)
Ti (0.3840, 0.8840, 0.0000)
Ti (0.6160, 0.1160, 0.0000)
Ti (0.8840, 0.6160, 0.0000)
Bi (0.1663, 0.6663, 0.5000)
Bi (0.3337, 0.1663, 0.5000)
Bi (0.6663, 0.8337, 0.5000)
Bi (0.8337, 0.3337, 0.5000)
Pb (0.0000, 0.0000, 0.5000)
Pb (0.5000, 0.5000, 0.5000)

Computed properties:
- formation energy from the elements (eV/f.u.) = 0.7
- spin magnetization (μB/cell) = 0.00
- space-group type = No. 127
- offset from the most stable computed form (meV/atom) = 163.2
- E_tot (eV per atom) = -5.30
- density (g/cm³) = 9.45

---

A geometry-optimized Ti4BiPb structure, computed with PBE.

Unit cell a=4.9234 b=5.6768 c=8.3621 alpha=90.00 beta=91.24 gamma=90.00
Fractional positions:
Ti (0.1880, 0.2500, 0.0959)
Ti (0.2211, 0.7500, 0.4076)
Ti (0.2443, 0.5019, 0.7488)
Ti (0.2443, 0.9981, 0.7488)
Ti (0.7557, 0.0019, 0.2512)
Ti (0.7557, 0.4981, 0.2512)
Ti (0.7789, 0.2500, 0.5924)
Ti (0.8120, 0.7500, 0.9041)
Bi (0.3008, 0.7500, 0.0740)
Bi (0.6992, 0.2500, 0.9260)
Pb (0.2705, 0.2500, 0.4247)
Pb (0.7295, 0.7500, 0.5753)

Computed properties:
- formation energy from the elements (eV/f.u.) = -0.2
- spin magnetization (μB/cell) = 0.00
- space-group type = No. 11
- offset from the most stable computed form (meV/atom) = 52.9
- E_tot (eV per atom) = -6.57
- density (g/cm³) = 8.64

---

A geometry-optimized Ti2BiPb structure, computed with PBE.

Unit cell a=7.1965 b=7.1965 c=7.1965 alpha=32.61 beta=32.61 gamma=32.61
Fractional positions:
Ti (0.0000, 0.0000, 0.0000)
Ti (0.1684, 0.1684, 0.1684)
Bi (0.5868, 0.5868, 0.5868)
Pb (0.4154, 0.4154, 0.4154)

Computed properties:
- formation energy from the elements (eV/f.u.) = 0.6
- spin magnetization (μB/cell) = 0.71
- space-group type = No. 160
- offset from the most stable computed form (meV/atom) = 44.0
- E_tot (eV per atom) = -5.69
- density (g/cm³) = 8.83

---

A geometry-optimized TiBiPb structure, computed with PBE.

Unit cell a=5.8895 b=5.8895 c=5.8895 alpha=142.81 beta=142.81 gamma=53.61
Fractional positions:
Ti (0.0000, 0.0000, 0.0000)
Bi (0.6269, 0.6269, 0.0000)
Pb (0.3278, 0.3278, 0.0000)

Computed properties:
- formation energy from the elements (eV/f.u.) = 0.2
- spin magnetization (μB/cell) = 0.00
- space-group type = No. 107
- offset from the most stable computed form (meV/atom) = 54.5
- E_tot (eV per atom) = -5.10
- density (g/cm³) = 10.39

---

A geometry-optimized TiBiPb3 structure, computed with PBE.

Unit cell a=5.9405 b=5.9405 c=5.9405 alpha=90.00 beta=90.00 gamma=90.00
Fractional positions:
Ti (0.0000, 0.0000, 0.0000)
Bi (0.5000, 0.5000, 0.5000)
Pb (0.0000, 0.5000, 0.5000)
Pb (0.5000, 0.0000, 0.5000)
Pb (0.5000, 0.5000, 0.0000)

Computed properties:
- formation energy from the elements (eV/f.u.) = 6.2
- spin magnetization (μB/cell) = 0.10
- space-group type = No. 221
- offset from the most stable computed form (meV/atom) = 902.2
- E_tot (eV per atom) = -3.34
- density (g/cm³) = 6.96

---

A geometry-optimized Ti8BiPb2 structure, computed with PBE.

Unit cell a=7.4256 b=7.4256 c=7.1743 alpha=116.01 beta=116.01 gamma=36.45
Fractional positions:
Ti (0.0324, 0.0324, 0.2473)
Ti (0.1515, 0.1515, 0.6969)
Ti (0.3239, 0.3239, 0.6025)
Ti (0.4156, 0.4156, 0.0522)
Ti (0.5844, 0.5844, 0.9478)
Ti (0.6761, 0.6761, 0.3975)
Ti (0.8485, 0.8485, 0.3031)
Ti (0.9676, 0.9676, 0.7527)
Bi (0.5000, 0.5000, 0.5000)
Pb (0.2065, 0.2065, 0.1454)
Pb (0.7935, 0.7935, 0.8546)

Computed properties:
- formation energy from the elements (eV/f.u.) = -0.4
- spin magnetization (μB/cell) = 0.01
- space-group type = No. 12
- E_tot (eV per atom) = -6.81
- density (g/cm³) = 8.02